# 1
! BeCu2Au, optimized geometry, DFT PBEsol; values from VASP
! **Space-group type**: P4mm
! **Calculated formation energy**: -0.080 eV per atom
! **Total energy**: -4.228 eV per atom
&SYSTEM
  ibrav = 0, nat = 4, ntyp = 3
/
ATOMIC_SPECIES
Be 9.01 Be.upf
Cu 63.55 Cu.upf
Au 196.97 Au.upf
CELL_PARAMETERS angstrom
2.8378 0.0000 0.0000
0.0000 2.8378 0.0000
0.0000 0.0000 5.9088
ATOMIC_POSITIONS angstrom
Be 0.0000 0.0000 0.0000
Cu 0.0000 0.0000 2.6186
Cu 1.4189 1.4189 1.1980
Au 1.4189 1.4189 4.4284

---

# 2
! NaNb2CrSb, optimized geometry, DFT PBEsol; values from VASP
! **Space-group type**: P4/mmm
! **Formation energy from raw total energies**: 1.00 eV/atom
! **Total energy**: -6.564 eV per atom
&SYSTEM
  ibrav = 0, nat = 5, ntyp = 4
/
ATOMIC_SPECIES
Na 22.99 Na.upf
Nb 92.91 Nb.upf
Cr 52.00 Cr.upf
Sb 121.76 Sb.upf
CELL_PARAMETERS angstrom
4.5239 0.0000 0.0000
0.0000 4.5239 0.0000
0.0000 0.0000 5.0532
ATOMIC_POSITIONS angstrom
Na 0.0000 0.0000 0.0000
Nb 0.0000 2.2620 2.5266
Nb 2.2620 0.0000 2.5266
Cr 0.0000 0.0000 2.5266
Sb 2.2620 2.2620 0.0000

---

# 3
! MnMoS2N, optimized geometry, DFT PBEsol; values from VASP
! **Space-group type**: P4/mmm
! **Formation energy from raw total energies**: 0.40 eV/atom
! **Total energy**: -7.370 eV per atom
&SYSTEM
  ibrav = 0, nat = 5, ntyp = 4
/
ATOMIC_SPECIES
Mn 54.94 Mn.upf
Mo 95.94 Mo.upf
S 32.06 S.upf
N 14.01 N.upf
CELL_PARAMETERS angstrom
4.5355 0.0000 0.0000
0.0000 4.5355 0.0000
0.0000 0.0000 3.3637
ATOMIC_POSITIONS angstrom
Mn 0.0000 0.0000 0.0000
Mo 2.2678 2.2678 1.6818
S 0.0000 2.2678 0.0000
S 2.2678 0.0000 0.0000
N 0.0000 0.0000 1.6818

---

# 4
! NaTaN2, optimized geometry, DFT PBEsol; values from VASP
! **Space-group type**: I-42d
! **Formation energy from raw total energies**: -0.96 eV/atom
! **Total energy**: -8.706 eV per atom
&SYSTEM
  ibrav = 0, nat = 8, ntyp = 3
/
ATOMIC_SPECIES
Na 22.99 Na.upf
Ta 180.95 Ta.upf
N 14.01 N.upf
CELL_PARAMETERS angstrom
-2.6624 2.6624 4.3929
2.6624 -2.6624 4.3929
2.6624 2.6624 -4.3929
ATOMIC_POSITIONS angstrom
Na 0.0000 0.0000 0.0000
Na 0.0000 2.6624 2.1965
Ta 2.6624 0.0000 2.1965
Ta 0.0000 0.0000 4.3929
N 1.3312 1.7816 -1.0982
N 3.5431 1.3312 1.0982
N 1.3312 0.8807 3.2947
N -0.8807 1.3312 5.4912